[1]
Here is crystalline NdThGaRh at its relaxed geometry from Alexandria. Energies are from PBE-GGA.

Cell lengths 7.264, 7.264, 7.264 Å; angles 90.00, 90.00, 90.00 degrees
Space group F-43m (No. 216)
Asymmetric unit:
Nd 0.000 0.000 0.000 x4
Th 0.000 0.000 0.500 x4
Ga 0.250 0.250 0.750 x4
Rh 0.250 0.250 0.250 x4

The calculation puts the distance to the lowest polymorph of the same formula at 233 meV per atom. The calculation puts the total DFT energy (no corrections) at -98.11 eV per cell. As for the formation energy: -490 meV per atom. The crystal system is cubic.

[2]
Here is crystalline Nd2TlGa2Rh5 at its relaxed geometry from Alexandria. Energies are from PBE-GGA.

Cell lengths 9.975, 9.975, 3.678 Å; angles 90.00, 90.00, 90.00 degrees
Space group P4/mbm (No. 127)
Asymmetric unit:
Nd 0.176 0.324 0.000 x4
Tl 0.000 0.000 0.000 x2
Ga 0.121 0.621 0.000 x4
Rh 0.000 0.500 0.500 x2
Rh 0.068 0.787 0.500 x8

The calculation puts the total DFT energy (no corrections) at -122.22 eV per cell. As for the formation energy: -640 meV per atom. The crystal system is tetragonal.

[3]
Here is crystalline Nd2TmGa2Rh5 at its relaxed geometry from Alexandria. Energies are from PBE-GGA.

Cell lengths 10.178, 10.178, 3.603 Å; angles 90.00, 90.00, 90.00 degrees
Space group P4/mbm (No. 127)
Asymmetric unit:
Nd 0.174 0.326 0.000 x4
Tm 0.000 0.000 0.000 x2
Ga 0.122 0.622 0.000 x4
Rh 0.000 0.500 0.500 x2
Rh 0.069 0.787 0.500 x8

The calculation puts the total DFT energy (no corrections) at -129.43 eV per cell. As for the formation energy: -790 meV per atom. The crystal system is tetragonal.

[4]
Here is crystalline NdTmGa2Rh2 at its relaxed geometry from Alexandria. Energies are from PBE-GGA.

Cell lengths 4.4147, 4.4147, 7.1518 Å; angles 90.00, 90.00, 120.00 degrees
Space group P-3m1 (No. 164)
Asymmetric unit:
Nd 0.0000 0.0000 0.0000 x1
Tm 0.0000 0.0000 0.5000 x1
Ga 0.3333 0.6667 0.2736 x2
Rh 0.3333 0.6667 0.7025 x2

The calculation puts the total DFT energy (no corrections) at -34.89 eV per cell. As for the formation energy: -815 meV per atom. The crystal system is trigonal.

[5]
Here is crystalline Nd2UGaRh6 at its relaxed geometry from Alexandria. Energies are from PBE-GGA.

Cell lengths 5.735, 6.435, 6.532 Å; angles 73.54, 64.07, 63.64 degrees
Space group P-1 (No. 2)
Asymmetric unit:
Nd 0.005 0.259 0.230 x2
U 0.500 0.000 0.500 x1
Ga 0.500 0.500 0.000 x1
Rh 0.006 0.191 0.794 x2
Rh 0.326 0.428 0.421 x2
Rh 0.491 0.810 0.205 x2

The calculation puts the total DFT energy (no corrections) at -73.55 eV per cell. As for the formation energy: -559 meV per atom. The crystal system is triclinic.

[6]
Here is crystalline Nd2YGa3Rh4 at its relaxed geometry from Alexandria. Energies are from PBE-GGA.

Cell lengths 4.291, 4.291, 10.945 Å; angles 90.00, 90.00, 90.00 degrees
Space group P-4m2 (No. 115)
Asymmetric unit:
Nd 0.000 0.500 0.221 x2
Y 0.000 0.000 0.500 x1
Ga 0.000 0.500 0.884 x2
Ga 0.500 0.500 0.500 x1
Rh 0.000 0.000 0.000 x1
Rh 0.000 0.500 0.655 x2
Rh 0.500 0.500 0.000 x1

The calculation puts the total DFT energy (no corrections) at -62.23 eV per cell. As for the formation energy: -775 meV per atom. The crystal system is tetragonal.

[7]
Here is crystalline NdYGaRh at its relaxed geometry from Alexandria. Energies are from PBE-GGA.

Cell lengths 7.151, 7.151, 7.151 Å; angles 90.00, 90.00, 90.00 degrees
Space group F-43m (No. 216)
Asymmetric unit:
Nd 0.000 0.000 0.000 x4
Y 0.000 0.000 0.500 x4
Ga 0.250 0.250 0.750 x4
Rh 0.250 0.250 0.250 x4

The calculation puts the distance to the lowest polymorph of the same formula at 86 meV per atom. The calculation puts the total DFT energy (no corrections) at -96.01 eV per cell. As for the formation energy: -598 meV per atom. The crystal system is cubic.

[8]
Here is crystalline NdYGaRh at its relaxed geometry from Alexandria. Energies are from PBE-GGA.

Cell lengths 4.234, 4.235, 10.613 Å; angles 90.00, 90.00, 90.00 degrees
Space group Amm2 (No. 38)
Asymmetric unit:
Nd 0.000 0.000 0.000 x2
Y 0.500 0.000 0.284 x2
Ga 0.500 0.000 0.581 x2
Rh 0.000 0.000 0.727 x2

The calculation puts the distance to the lowest polymorph of the same formula at 0 meV per atom. The calculation puts the total DFT energy (no corrections) at -48.69 eV per cell. As for the formation energy: -684 meV per atom. The crystal system is orthorhombic.

[9]
Here is crystalline Nd2ZnGa4Rh3 at its relaxed geometry from Alexandria. Energies are from PBE-GGA.

Cell lengths 4.274, 4.274, 10.378 Å; angles 90.00, 90.00, 90.00 degrees
Space group P-4m2 (No. 115)
Asymmetric unit:
Nd 0.000 0.500 0.248 x2
Zn 0.500 0.500 0.000 x1
Ga 0.000 0.000 0.500 x1
Ga 0.000 0.500 0.867 x2
Ga 0.500 0.500 0.500 x1
Rh 0.000 0.000 0.000 x1
Rh 0.000 0.500 0.627 x2

The calculation puts the total DFT energy (no corrections) at -51.77 eV per cell. As for the formation energy: -680 meV per atom. The crystal system is tetragonal.

[10]
Here is crystalline NdZn2GaRh at its relaxed geometry from Alexandria. Energies are from PBE-GGA.

Cell lengths 4.024, 4.142, 11.237 Å; angles 90.00, 90.00, 90.00 degrees
Space group Imm2 (No. 44)
Asymmetric unit:
Nd 0.000 0.000 0.000 x2
Zn 0.000 0.000 0.613 x2
Zn 0.000 0.500 0.251 x2
Ga 0.000 0.000 0.384 x2
Rh 0.000 0.500 0.750 x2

The calculation puts the total DFT energy (no corrections) at -40.11 eV per cell. As for the formation energy: -472 meV per atom. The crystal system is orthorhombic.

[11]
Here is crystalline Nd2Zn3Ga4Rh at its relaxed geometry from Alexandria. Energies are from PBE-GGA.

Cell lengths 4.226, 4.226, 10.689 Å; angles 90.00, 90.00, 90.00 degrees
Space group P-4m2 (No. 115)
Asymmetric unit:
Nd 0.000 0.500 0.248 x2
Zn 0.000 0.000 0.000 x1
Zn 0.000 0.500 0.638 x2
Ga 0.000 0.000 0.500 x1
Ga 0.000 0.500 0.870 x2
Ga 0.500 0.500 0.500 x1
Rh 0.500 0.500 0.000 x1

The calculation puts the total DFT energy (no corrections) at -38.05 eV per cell. As for the formation energy: -523 meV per atom. The crystal system is tetragonal.

[12]
Here is crystalline NdZn2GaRh2 at its relaxed geometry from Alexandria. Energies are from PBE-GGA.

Cell lengths 4.576, 4.576, 5.715 Å; angles 90.00, 90.00, 90.00 degrees
Space group P4/mmm (No. 123)
Asymmetric unit:
Nd 0.000 0.000 0.000 x1
Zn 0.500 0.500 0.241 x2
Ga 0.000 0.000 0.500 x1
Rh 0.000 0.500 0.500 x2

The calculation puts the total DFT energy (no corrections) at -26.54 eV per cell. As for the formation energy: -249 meV per atom. The crystal system is tetragonal.

[13]
Here is crystalline NdZnGa3Rh at its relaxed geometry from Alexandria. Energies are from PBE-GGA.

Cell lengths 6.376, 11.819, 6.388 Å; angles 90.00, 90.00, 90.00 degrees
Space group Cmcm (No. 63)
Asymmetric unit:
Nd 0.000 0.213 0.250 x4
Zn 0.000 0.456 0.250 x4
Ga 0.000 0.329 0.750 x4
Ga 0.207 0.000 0.000 x8
Rh 0.000 0.123 0.750 x4

The calculation puts the total DFT energy (no corrections) at -96.85 eV per cell. As for the formation energy: -290 meV per atom. The crystal system is orthorhombic.

[14]
Here is crystalline NdZnGa2Rh at its relaxed geometry from Alexandria. Energies are from PBE-GGA.

Cell lengths 4.177, 4.177, 10.861 Å; angles 90.00, 90.00, 90.00 degrees
Space group I-4m2 (No. 119)
Asymmetric unit:
Nd 0.000 0.000 0.000 x2
Zn 0.000 0.500 0.750 x2
Ga 0.000 0.000 0.381 x4
Rh 0.000 0.500 0.250 x2

The calculation puts the total DFT energy (no corrections) at -44.64 eV per cell. As for the formation energy: -575 meV per atom. The crystal system is tetragonal.

[15]
Here is crystalline Nd3Ga3Ru2 at its relaxed geometry from Alexandria. Energies are from PBE-GGA.

Cell lengths 4.541, 10.420, 14.773 Å; angles 90.00, 90.00, 90.00 degrees
Space group Cmcm (No. 63)
Asymmetric unit:
Nd 0.000 0.095 0.109 x8
Nd 0.000 0.403 0.250 x4
Ga 0.000 0.290 0.750 x4
Ga 0.000 0.384 0.043 x8
Ru 0.000 0.213 0.583 x8

The calculation puts the total DFT energy (no corrections) at -184.43 eV per cell. As for the formation energy: -522 meV per atom. The crystal system is orthorhombic.

[16]
Here is crystalline Nd6GaRu2 at its relaxed geometry from Alexandria. Energies are from PBE-GGA.

Cell lengths 10.235, 5.249, 9.194 Å; angles 90.00, 100.99, 90.00 degrees
Space group C2/m (No. 12)
Asymmetric unit:
Nd 0.038 0.000 0.339 x4
Nd 0.158 0.500 0.892 x4
Nd 0.208 0.500 0.334 x4
Ga 0.000 0.000 0.000 x2
Ru 0.114 0.500 0.599 x4

The calculation puts the distance to the lowest polymorph of the same formula at 69 meV per atom. The calculation puts the total DFT energy (no corrections) at -104.12 eV per cell. As for the formation energy: -208 meV per atom. The crystal system is monoclinic.

[17]
Here is crystalline Nd6GaRu2 at its relaxed geometry from Alexandria. Energies are from PBE-GGA.

Cell lengths 9.609, 9.793, 10.604 Å; angles 90.00, 90.00, 90.00 degrees
Space group Immm (No. 71)
Asymmetric unit:
Nd 0.000 0.196 0.240 x8
Nd 0.188 0.500 0.170 x8
Nd 0.218 0.320 0.500 x8
Ga 0.000 0.000 0.000 x2
Ga 0.000 0.000 0.500 x2
Ru 0.000 0.319 0.000 x4
Ru 0.000 0.500 0.374 x4

The calculation puts the distance to the lowest polymorph of the same formula at 0 meV per atom. The calculation puts the total DFT energy (no corrections) at -210.72 eV per cell. As for the formation energy: -277 meV per atom. The crystal system is orthorhombic.

[18]
Here is crystalline Nd2Ga3Ru at its relaxed geometry from Alexandria. Energies are from PBE-GGA.

Cell lengths 4.511, 5.464, 10.960 Å; angles 90.00, 90.00, 90.00 degrees
Space group Immm (No. 71)
Asymmetric unit:
Nd 0.000 0.000 0.200 x4
Ga 0.000 0.500 0.115 x4
Ga 0.000 0.500 0.500 x2
Ru 0.000 0.000 0.500 x2

The calculation puts the total DFT energy (no corrections) at -59.12 eV per cell. As for the formation energy: -278 meV per atom. The crystal system is orthorhombic.

[19]
Here is crystalline Nd4GaRu at its relaxed geometry from Alexandria. Energies are from PBE-GGA.

Cell lengths 9.018, 13.748, 6.356 Å; angles 90.00, 119.04, 90.00 degrees
Space group C2/c (No. 15)
Asymmetric unit:
Nd 0.119 0.180 0.085 x8
Nd 0.214 0.434 0.313 x8
Ga 0.000 0.372 0.750 x4
Ru 0.000 0.000 0.250 x4

The calculation puts the total DFT energy (no corrections) at -132.57 eV per cell. As for the formation energy: -295 meV per atom. The crystal system is monoclinic.

[20]
Here is crystalline Nd12GaRu6 at its relaxed geometry from Alexandria. Energies are from PBE-GGA.

Cell lengths 10.125, 10.125, 10.125 Å; angles 90.00, 90.00, 90.00 degrees
Space group Im-3 (No. 204)
Asymmetric unit:
Nd 0.000 0.195 0.296 x24
Ga 0.000 0.000 0.000 x2
Ru 0.000 0.379 0.500 x12

The calculation puts the total DFT energy (no corrections) at -238.36 eV per cell. As for the formation energy: -173 meV per atom. The crystal system is cubic.

[21]
Here is crystalline Nd8Ga2Ru at its relaxed geometry from Alexandria. Energies are from PBE-GGA.

Cell lengths 18.284, 5.154, 6.935 Å; angles 90.00, 101.68, 90.00 degrees
Space group C2/m (No. 12)
Asymmetric unit:
Nd 0.023 0.000 0.281 x4
Nd 0.091 0.500 0.943 x4
Nd 0.153 0.500 0.461 x4
Nd 0.205 0.000 0.803 x4
Ga 0.191 0.000 0.237 x4
Ru 0.000 0.500 0.500 x2

The calculation puts the distance to the lowest polymorph of the same formula at 0 meV per atom. The calculation puts the total DFT energy (no corrections) at -112.31 eV per cell. As for the formation energy: -244 meV per atom. The crystal system is monoclinic.